PrSm9Y2 | PBE-GGA | relaxed

Results
Calculated total energy ... -59.96 eV per cell

abc: 5.127 5.127 15.384
angles: 90.00 90.00 90.00
Fractional coordinates of all 12 atoms:
Pr1 0.000 0.000 0.000
Sm1 0.000 0.500 0.168
Sm2 0.000 0.500 0.500
Sm3 0.000 0.500 0.832
Sm4 0.500 0.000 0.168
Sm5 0.500 0.000 0.500
Sm6 0.500 0.000 0.832
Sm7 0.500 0.500 0.000
Sm8 0.500 0.500 0.335
Sm9 0.500 0.500 0.665
Y1 0.000 0.000 0.334
Y2 0.000 0.000 0.666

Pr2Sm3Y6 | PBE-GGA | relaxed

Results
Calculated total energy ... -59.55 eV per cell

abc: 17.220 17.220 17.220
angles: 164.04 164.04 22.65
Fractional coordinates of all 11 atoms:
Pr1 0.046 0.046 0.000
Pr2 0.954 0.954 0.000
Sm1 0.300 0.300 0.000
Sm2 0.500 0.500 0.000
Sm3 0.700 0.700 0.000
Y1 0.122 0.622 0.500
Y2 0.198 0.198 0.000
Y3 0.378 0.878 0.500
Y4 0.622 0.122 0.500
Y5 0.802 0.802 0.000
Y6 0.878 0.378 0.500

Pr4Sm5Y2 | PBE-GGA | relaxed

Results
Calculated total energy ... -52.91 eV per cell

abc: 12.766 12.766 12.766
angles: 164.01 136.72 46.43
Fractional coordinates of all 11 atoms:
Pr1 0.097 0.097 0.000
Pr2 0.204 0.500 0.704
Pr3 0.796 0.500 0.296
Pr4 0.903 0.903 0.000
Sm1 0.150 0.351 0.799
Sm2 0.448 0.649 0.799
Sm3 0.500 0.000 0.500
Sm4 0.552 0.351 0.201
Sm5 0.850 0.649 0.201
Y1 0.230 0.230 0.000
Y2 0.770 0.770 0.000

Pr5Sm12Y2 | PBE-GGA | relaxed

Results
Calculated total energy ... -90.20 eV per cell

abc: 10.018 10.018 10.626
angles: 109.66 109.66 41.90
Fractional coordinates of all 19 atoms:
Pr1 0.000 0.000 0.000
Pr2 0.187 0.187 0.683
Pr3 0.323 0.323 0.289
Pr4 0.677 0.677 0.711
Pr5 0.813 0.813 0.317
Sm1 0.026 0.026 0.747
Sm2 0.087 0.582 0.978
Sm3 0.089 0.594 0.632
Sm4 0.406 0.911 0.368
Sm5 0.418 0.913 0.022
Sm6 0.500 0.500 0.177
Sm7 0.500 0.500 0.823
Sm8 0.582 0.087 0.978
Sm9 0.594 0.089 0.632
Sm10 0.911 0.406 0.368
Sm11 0.913 0.418 0.022
Sm12 0.974 0.974 0.253
Y1 0.273 0.727 0.500
Y2 0.727 0.273 0.500

PrSm10Y4 | PBE-GGA | relaxed

Results
Calculated total energy ... -66.74 eV per cell

abc: 9.579 9.579 9.579
angles: 99.55 99.55 131.94
Fractional coordinates of all 15 atoms:
Pr1 0.000 0.000 0.000
Sm1 0.050 0.151 0.699
Sm2 0.151 0.452 0.101
Sm3 0.250 0.750 0.500
Sm4 0.351 0.050 0.899
Sm5 0.452 0.351 0.301
Sm6 0.548 0.649 0.699
Sm7 0.649 0.950 0.101
Sm8 0.750 0.250 0.500
Sm9 0.849 0.548 0.899
Sm10 0.950 0.849 0.301
Y1 0.200 0.600 0.800
Y2 0.400 0.200 0.600
Y3 0.600 0.800 0.400
Y4 0.800 0.400 0.200

Pr5SmY2 | PBE-GGA | relaxed

Results
Calculated total energy ... -82.92 eV per cell

abc: 7.329 14.660 5.188
angles: 90.00 90.00 90.00
Fractional coordinates of all 16 atoms:
Pr1 0.000 0.000 0.000
Pr2 0.001 0.251 0.000
Pr3 0.249 0.624 0.500
Pr4 0.251 0.124 0.500
Pr5 0.499 0.751 0.000
Pr6 0.500 0.500 0.000
Pr7 0.501 0.249 0.000
Pr8 0.749 0.876 0.500
Pr9 0.751 0.376 0.500
Pr10 0.999 0.749 0.000
Sm1 0.000 0.500 0.000
Sm2 0.500 0.000 0.000
Y1 0.250 0.376 0.500
Y2 0.250 0.876 0.500
Y3 0.750 0.124 0.500
Y4 0.750 0.624 0.500

Pr5Sm2Y3 | PBE-GGA | relaxed

Results
Calculated total energy ... -100.05 eV per cell

abc: 11.173 11.173 11.173
angles: 112.93 77.44 145.89
Fractional coordinates of all 20 atoms:
Pr1 0.171 0.246 0.417
Pr2 0.250 0.250 0.000
Pr3 0.250 0.503 0.253
Pr4 0.250 0.997 0.747
Pr5 0.329 0.746 0.075
Pr6 0.671 0.254 0.925
Pr7 0.750 0.003 0.253
Pr8 0.750 0.497 0.747
Pr9 0.750 0.750 0.000
Pr10 0.829 0.754 0.583
Sm1 0.169 0.585 0.754
Sm2 0.331 0.085 0.416
Sm3 0.669 0.915 0.584
Sm4 0.831 0.415 0.246
Y1 0.168 0.911 0.079
Y2 0.250 0.750 0.500
Y3 0.332 0.411 0.743
Y4 0.668 0.589 0.257
Y5 0.750 0.250 0.500
Y6 0.832 0.089 0.921

Pr7Sm3Y2 | PBE-GGA | relaxed

Results
Calculated total energy ... -59.47 eV per cell

abc: 5.997 3.646 19.406
angles: 90.00 93.44 90.00
Fractional coordinates of all 12 atoms:
Pr1 0.000 0.000 0.000
Pr2 0.182 0.500 0.183
Pr3 0.257 0.500 0.535
Pr4 0.321 0.000 0.855
Pr5 0.679 0.000 0.145
Pr6 0.743 0.500 0.465
Pr7 0.818 0.500 0.817
Sm1 0.220 0.000 0.367
Sm2 0.500 0.500 0.000
Sm3 0.780 0.000 0.633
Y1 0.290 0.500 0.703
Y2 0.710 0.500 0.297

Pr3Sm4Y4 | PBE-GGA | relaxed

Results
Calculated total energy ... -57.44 eV per cell

abc: 10.769 6.745 6.745
angles: 50.89 90.00 90.00
Fractional coordinates of all 11 atoms:
Pr1 0.000 0.000 0.000
Pr2 0.296 0.150 0.150
Pr3 0.704 0.150 0.150
Sm1 0.000 0.705 0.705
Sm2 0.212 0.501 0.501
Sm3 0.500 0.630 0.630
Sm4 0.788 0.501 0.501
Y1 0.000 0.301 0.301
Y2 0.297 0.846 0.846
Y3 0.500 0.360 0.360
Y4 0.703 0.846 0.846

Pr5Sm4Y2 | PBE-GGA | relaxed

Results
Calculated total energy ... -54.08 eV per cell

abc: 7.011 7.011 9.182
angles: 100.98 100.98 61.84
Fractional coordinates of all 11 atoms:
Pr1 0.000 0.000 0.000
Pr2 0.223 0.665 0.679
Pr3 0.335 0.777 0.321
Pr4 0.665 0.223 0.679
Pr5 0.777 0.335 0.321
Sm1 0.291 0.291 0.345
Sm2 0.342 0.342 0.002
Sm3 0.658 0.658 0.998
Sm4 0.709 0.709 0.655
Y1 0.167 0.167 0.655
Y2 0.833 0.833 0.345

Pr11Sm4Y9 | PBE-GGA | relaxed

Results
Calculated total energy ... -128.39 eV per cell

abc: 15.562 15.562 3.730
angles: 90.00 90.00 113.03
Fractional coordinates of all 24 atoms:
Pr1 0.000 0.000 0.000
Pr2 0.045 0.407 0.000
Pr3 0.160 0.840 0.000
Pr4 0.292 0.292 0.000
Pr5 0.368 0.632 0.000
Pr6 0.407 0.045 0.000
Pr7 0.593 0.955 0.000
Pr8 0.632 0.368 0.000
Pr9 0.708 0.708 0.000
Pr10 0.840 0.160 0.000
Pr11 0.955 0.593 0.000
Sm1 0.243 0.445 0.500
Sm2 0.445 0.243 0.500
Sm3 0.555 0.757 0.500
Sm4 0.757 0.555 0.500
Y1 0.066 0.212 0.500
Y2 0.164 0.632 0.500
Y3 0.212 0.066 0.500
Y4 0.368 0.836 0.500
Y5 0.500 0.500 0.500
Y6 0.632 0.164 0.500
Y7 0.788 0.934 0.500
Y8 0.836 0.368 0.500
Y9 0.934 0.788 0.500

Pr12Sm5Y2 | PBE-GGA | relaxed

Results
Calculated total energy ... -91.57 eV per cell

abc: 9.533 9.533 8.130
angles: 92.01 92.01 67.38
Fractional coordinates of all 19 atoms:
Pr1 0.052 0.052 0.210
Pr2 0.084 0.538 0.706
Pr3 0.119 0.669 0.111
Pr4 0.331 0.881 0.889
Pr5 0.357 0.357 0.387
Pr6 0.462 0.916 0.294
Pr7 0.538 0.084 0.706
Pr8 0.643 0.643 0.613
Pr9 0.669 0.119 0.111
Pr10 0.881 0.331 0.889
Pr11 0.916 0.462 0.294
Pr12 0.948 0.948 0.790
Sm1 0.152 0.152 0.586
Sm2 0.256 0.256 0.016
Sm3 0.500 0.500 0.000
Sm4 0.744 0.744 0.984
Sm5 0.848 0.848 0.414
Y1 0.246 0.754 0.500
Y2 0.754 0.246 0.500

Spin magnetization readings, ordered: 0.00; 0.00; 0.00; 0.00; 0.00; 0.00; 0.00; 0.00; 0.00; 0.00; 0.00; 0.00 μB/atom